[1]
## Ac2PuAgTe5 (PBE)

Data for crystalline Ac2PuAgTe5 at its relaxed geometry.

It has space group Cmc2_1 (No. 36), with a = 4.5765 Å, b = 19.4707 Å, c = 13.5549 Å, α = 90.00°, β = 90.00° and γ = 90.00°. The inequivalent atoms are Ac at (0.0000, 0.1122, 0.0000), Ac at (0.0000, 0.1244, 0.6215), Pu at (0.0000, 0.1952, 0.3219), Ag at (0.0000, 0.4337, 0.7703), Te at (0.0000, 0.0448, 0.3816), Te at (0.0000, 0.2903, 0.9786), Te at (0.0000, 0.3056, 0.6598), Te at (0.0000, 0.3580, 0.3142) and Te at (0.0000, 0.4991, 0.0884).

For the energy relative to the elements, uncorrected, the calculation gives -1182.0 meV/atom. For the density of states at the Fermi level, the calculation gives 1.676 states/eV per atom.


[2]
## CrAg3Cl (PBE)

Data for crystalline CrAg3Cl at its relaxed geometry.

It has space group Pm-3m (No. 221), with a = 4.9506 Å, b = 4.9506 Å, c = 4.9506 Å, α = 90.00°, β = 90.00° and γ = 90.00°. The inequivalent atoms are Cr at (0.0000, 0.0000, 0.0000), Ag at (0.0000, 0.0000, 0.5000) and Cl at (0.5000, 0.5000, 0.5000).

For the energy relative to the elements, uncorrected, the calculation gives 1315.4 meV/atom. For the density of states at the Fermi level, the calculation gives 1.429 states/eV per atom. As for the energy relative to the lowest polymorph listed for this composition: 407 meV per atom.


What is the formula in the second record? CrAg3Cl


Look up the energy relative to the elements, uncorrected of the second one. 1315.4 meV/atom